# TlHgOs2 | the Alexandria database | PBE | relaxed
# ΔH_f (0 K) = 1.2960 eV per atom
# Energy relative to the lowest polymorph listed for this composition = 778 meV per atom
# Symmetry = P4/mmm (123)
# Total energy = -19.94 eV per cell
# N(E_F) = 1.29 states/eV per atom
data_TlHgOs2
_cell_length_a 2.963
_cell_length_b 2.963
_cell_length_c 8.158
_cell_angle_alpha 90.00
_cell_angle_beta 90.00
_cell_angle_gamma 90.00
_space_group_name_H-M_alt 'P 1'
_space_group_IT_number 1
loop_
_space_group_symop_operation_xyz
'x,y,z'
loop_
_atom_site_label
_atom_site_fract_x
_atom_site_fract_y
_atom_site_fract_z
_atom_site_occupancy
Hg1 0.500 0.500 0.750 1
Os1 0.000 0.000 0.998 1
Os2 0.000 0.000 0.502 1
Tl1 0.500 0.500 0.250 1